# Cu3HgB

A relaxed Cu3HgB crystal (PBE-GGA, the Alexandria database).

Computed properties:
Excess energy over the best structure of this formula in the dataset, eV per atom: 1.489
Formation energy from the elements, eV per atom: 1.771
Total energy, Ry per atom: -0.1531

CIF file:
```
data_Cu3HgB
_chemical_formula_sum 'Cu3 Hg1 B1'
_symmetry_space_group_name_H-M 'P m -3 m'
_symmetry_Int_Tables_number 221
_symmetry_space_group_name_Hall '-P 4 2 3'
_cell_length_a 4.840
_cell_length_b 4.840
_cell_length_c 4.840
_cell_angle_alpha 90.00
_cell_angle_beta 90.00
_cell_angle_gamma 90.00
loop_
_atom_site_label
_atom_site_fract_x
_atom_site_fract_y
_atom_site_fract_z
Cu1 0.000 0.000 0.500
Hg1 0.000 0.000 0.000
B1 0.500 0.500 0.500
```



# La4AlTe

A relaxed La4AlTe crystal (PBE-GGA, the Alexandria database).

Computed properties:
ΔE_f (raw), eV per atom: -0.01
Total energy, Ry per atom: -0.3263

CIF file:
```
data_La4AlTe
_chemical_formula_sum 'La16 Al4 Te4'
_symmetry_space_group_name_H-M 'F -4 3 m'
_symmetry_Int_Tables_number 216
_symmetry_space_group_name_Hall 'F -4 2 3'
_cell_length_a 9.102
_cell_length_b 9.102
_cell_length_c 9.102
_cell_angle_alpha 90.00
_cell_angle_beta 90.00
_cell_angle_gamma 90.00
loop_
_atom_site_label
_atom_site_fract_x
_atom_site_fract_y
_atom_site_fract_z
La1 0.124 0.124 0.376
Al1 0.250 0.250 0.750
Te1 0.000 0.000 0.000
```



# TmInAu4

A relaxed TmInAu4 crystal (PBE-GGA, the Alexandria database).

Computed properties:
Excess energy over the best structure of this formula in the dataset, eV per atom: 0.111
Formation energy from the elements, eV per atom: -0.413
Total energy, Ry per atom: -0.2793

CIF file:
```
data_TmInAu4
_chemical_formula_sum 'Tm4 In4 Au16'
_symmetry_space_group_name_H-M 'F -4 3 m'
_symmetry_Int_Tables_number 216
_symmetry_space_group_name_Hall 'F -4 2 3'
_cell_length_a 7.907
_cell_length_b 7.907
_cell_length_c 7.907
_cell_angle_alpha 90.00
_cell_angle_beta 90.00
_cell_angle_gamma 90.00
loop_
_atom_site_label
_atom_site_fract_x
_atom_site_fract_y
_atom_site_fract_z
Tm1 0.000 0.000 0.000
In1 0.250 0.250 0.250
Au1 0.125 0.125 0.625
```



# Li2SmCd3

A relaxed Li2SmCd3 crystal (PBE-GGA, the Alexandria database).

Computed properties:
Excess energy over the best structure of this formula in the dataset, eV per atom: 0.000
Formation energy from the elements, eV per atom: -0.261
Total energy, Ry per atom: -0.1575

CIF file:
```
data_Li2SmCd3
_chemical_formula_sum 'Li2 Sm1 Cd3'
_symmetry_space_group_name_H-M 'P 4/m m m'
_symmetry_Int_Tables_number 123
_symmetry_space_group_name_Hall '-P 4 2'
_cell_length_a 3.467
_cell_length_b 3.467
_cell_length_c 10.746
_cell_angle_alpha 90.00
_cell_angle_beta 90.00
_cell_angle_gamma 90.00
loop_
_atom_site_label
_atom_site_fract_x
_atom_site_fract_y
_atom_site_fract_z
Li1 0.000 0.000 0.150
Sm1 0.000 0.000 0.500
Cd1 0.500 0.500 0.000
Cd2 0.500 0.500 0.292
```